{"formula": "Ho8Cu2Au", "functional": "PBE-GGA", "state": "optimized geometry", "cell": [[-0.734, 2.447, -4.353], [-6.372, 1.327, 1.820], [5.249, 5.421, 5.089]], "species": ["Ho", "Ho", "Ho", "Ho", "Ho", "Ho", "Ho", "Ho", "Cu", "Cu", "Au"], "fractional_positions": [[0.407, 0.540, 0.814], [0.672, 0.984, 0.344], [0.799, 0.666, 0.598], [0.968, 0.220, 0.935], [0.201, 0.334, 0.402], [0.328, 0.016, 0.656], [0.593, 0.460, 0.186], [0.032, 0.780, 0.065], [0.817, 0.275, 0.635], [0.183, 0.725, 0.365], [0.500, 0.000, 0.000]], "relative_energy_mev_per_atom": 0, "crystal_system": "monoclinic"}